Entry 1:
{"formula": "Hg2SbPb", "functional": "PBE", "state": "optimized geometry", "total_energy_ev_per_atom": -2.0209, "m_tot_mub_per_fu": 0.000, "dos_ef_per_ev_cell": 1.42, "crystal_system": "monoclinic", "lattice_angstrom": [[5.848, 0.072, -0.339], [4.866, 3.245, -0.339], [0.610, 0.189, 5.970]], "species": ["Hg", "Hg", "Pb", "Sb"], "fractional_positions": [[0.003, 0.003, 0.979], [0.753, 0.753, 0.772], [0.504, 0.504, 0.488], [0.240, 0.240, 0.262]]}



Entry 2:
{"formula": "HgSbPb2", "functional": "PBE", "state": "optimized geometry", "relative_energy_mev_per_atom": 21, "m_tot_mub_per_fu": 0.000, "dos_ef_per_ev_cell": 2.43, "crystal_system": "tetragonal", "lattice_angstrom": [[4.336, 0.000, 0.000], [0.000, 5.207, 0.000], [0.000, 0.000, 5.207]], "species": ["Pb", "Pb", "Sb", "Hg"], "fractional_positions": [[0.000, 0.000, 0.000], [0.000, 0.500, 0.500], [0.500, 0.500, 0.000], [0.500, 0.000, 0.500]]}



Entry 3:
{"formula": "Hg2SbPb", "functional": "PBE", "state": "optimized geometry", "total_energy_ev_per_atom": -2.0282, "m_tot_mub_per_fu": 0.000, "dos_ef_per_ev_cell": 0.81, "crystal_system": "tetragonal", "lattice_angstrom": [[3.529, 0.000, 0.000], [0.000, 3.529, 0.000], [0.000, 0.000, 9.036]], "species": ["Pb", "Sb", "Hg", "Hg"], "fractional_positions": [[0.000, 0.000, 0.502], [0.500, 0.500, 0.753], [0.000, 0.000, 0.008], [0.500, 0.500, 0.238]]}



Entry 4:
{"formula": "Hg3SbPb", "functional": "PBE", "state": "optimized geometry", "relative_energy_mev_per_atom": 0, "m_tot_mub_per_fu": 0.000, "dos_ef_per_ev_cell": 4.93, "crystal_system": "cubic", "lattice_angstrom": [[-0.931, -5.209, -1.834], [5.105, -0.102, -2.302], [2.108, -2.055, 4.765]], "species": ["Pb", "Sb", "Hg", "Hg", "Hg"], "fractional_positions": [[0.500, 0.500, 0.500], [0.000, 0.000, 0.000], [0.000, 0.500, 0.000], [0.000, 0.000, 0.500], [0.500, 0.000, 0.000]]}



Entry 5:
{"formula": "Hg5Sb2Pb3", "functional": "PBE", "state": "optimized geometry", "total_energy_ev_per_atom": -2.0167, "m_tot_mub_per_fu": 0.000, "dos_ef_per_ev_cell": 7.67, "crystal_system": "triclinic", "lattice_angstrom": [[-8.958, 2.613, -4.888], [0.304, -8.969, 3.210], [0.471, 4.756, 6.060]], "species": ["Hg", "Hg", "Hg", "Hg", "Hg", "Hg", "Hg", "Hg", "Hg", "Hg", "Sb", "Sb", "Sb", "Sb", "Pb", "Pb", "Pb", "Pb", "Pb", "Pb"], "fractional_positions": [[0.697, 0.212, 0.004], [0.159, 0.022, 0.258], [0.303, 0.788, 0.996], [0.841, 0.978, 0.742], [0.976, 0.749, 0.773], [0.024, 0.251, 0.227], [0.732, 0.606, 0.333], [0.268, 0.394, 0.667], [0.483, 0.204, 0.228], [0.517, 0.796, 0.772], [0.919, 0.590, 0.062], [0.411, 0.065, 0.607], [0.081, 0.410, 0.938], [0.589, 0.935, 0.393], [0.604, 0.470, 0.702], [0.160, 0.684, 0.505], [0.396, 0.530, 0.298], [0.840, 0.316, 0.495], [0.219, 0.127, 0.849], [0.781, 0.873, 0.151]]}



Entry 6:
{"formula": "Hg8SbPb6", "functional": "PBE", "state": "optimized geometry", "total_energy_ev_per_atom": -1.8791, "m_tot_mub_per_fu": 0.000, "dos_ef_per_ev_cell": 5.51, "crystal_system": "trigonal", "lattice_angstrom": [[-3.269, -4.106, 2.815], [-0.518, -5.474, -2.288], [10.057, -7.273, 7.372]], "species": ["Hg", "Hg", "Hg", "Hg", "Hg", "Hg", "Hg", "Hg", "Sb", "Pb", "Pb", "Pb", "Pb", "Pb", "Pb"], "fractional_positions": [[0.799, 0.470, 0.596], [0.865, 0.201, 0.404], [0.530, 0.865, 0.404], [0.333, 0.333, 0.000], [0.667, 0.667, 0.000], [0.470, 0.135, 0.596], [0.135, 0.799, 0.596], [0.201, 0.530, 0.404], [0.000, 0.000, 0.000], [0.935, 0.603, 0.196], [0.734, 0.065, 0.804], [0.397, 0.734, 0.804], [0.603, 0.266, 0.196], [0.266, 0.935, 0.196], [0.065, 0.397, 0.804]]}



Entry 7:
{"formula": "Hg2SbPb", "functional": "PBE", "state": "optimized geometry", "total_energy_ev_per_atom": -2.0494, "m_tot_mub_per_fu": 0.000, "dos_ef_per_ev_cell": 2.18, "crystal_system": "cubic", "lattice_angstrom": [[-0.519, 2.248, -4.914], [3.823, -0.802, -3.770], [-1.055, -3.121, -4.315]], "species": ["Pb", "Sb", "Hg", "Hg"], "fractional_positions": [[0.500, 0.500, 0.500], [0.750, 0.750, 0.750], [0.000, 0.000, 0.000], [0.250, 0.250, 0.250]]}



Entry 8:
{"formula": "Hg2SbPb", "functional": "PBE", "state": "optimized geometry", "total_energy_ev_per_atom": -2.0033, "m_tot_mub_per_fu": 0.000, "dos_ef_per_ev_cell": 2.06, "crystal_system": "trigonal", "lattice_angstrom": [[-0.178, -10.840, 2.954], [3.232, -10.458, 2.542], [1.749, -9.614, 5.548]], "species": ["Hg", "Hg", "Pb", "Sb"], "fractional_positions": [[0.999, 0.999, 0.999], [0.252, 0.252, 0.252], [0.499, 0.499, 0.499], [0.750, 0.750, 0.750]]}



Entry 9:
{"formula": "Hg3Sb3Pb4", "functional": "PBE", "state": "optimized geometry", "total_energy_ev_per_atom": -2.7162, "m_tot_mub_per_fu": 0.000, "dos_ef_per_ev_cell": 9.05, "crystal_system": "cubic", "lattice_angstrom": [[-5.545, 2.889, 6.826], [4.640, -7.519, 2.766], [6.002, 6.713, -2.151]], "species": ["Hg", "Hg", "Hg", "Hg", "Hg", "Hg", "Sb", "Sb", "Sb", "Sb", "Sb", "Sb", "Pb", "Pb", "Pb", "Pb", "Pb", "Pb", "Pb", "Pb"], "fractional_positions": [[0.625, 0.750, 0.875], [0.875, 0.250, 0.625], [0.125, 0.375, 0.250], [0.375, 0.125, 0.750], [0.250, 0.875, 0.125], [0.750, 0.625, 0.375], [0.125, 0.750, 0.375], [0.375, 0.250, 0.125], [0.625, 0.875, 0.250], [0.875, 0.625, 0.750], [0.250, 0.375, 0.625], [0.750, 0.125, 0.875], [0.000, 0.000, 0.268], [0.500, 0.268, 0.500], [0.732, 0.232, 0.232], [0.000, 0.000, 0.768], [0.768, 0.500, 0.000], [0.500, 0.768, 0.500], [0.268, 0.500, 0.000], [0.232, 0.732, 0.732]]}



Entry 10:
{"formula": "Hg3SbPb3", "functional": "PBE", "state": "optimized geometry", "relative_energy_mev_per_atom": 0, "m_tot_mub_per_fu": 0.000, "dos_ef_per_ev_cell": 7.09, "crystal_system": "trigonal", "lattice_angstrom": [[-3.268, -2.200, -5.776], [-5.653, -4.081, 0.521], [-8.894, 6.135, -1.537]], "species": ["Hg", "Hg", "Hg", "Hg", "Hg", "Hg", "Sb", "Sb", "Pb", "Pb", "Pb", "Pb", "Pb", "Pb"], "fractional_positions": [[0.349, 0.349, 0.401], [0.901, 0.349, 0.401], [0.349, 0.901, 0.401], [0.651, 0.099, 0.599], [0.099, 0.651, 0.599], [0.651, 0.651, 0.599], [0.701, 0.701, 0.898], [0.299, 0.299, 0.102], [0.216, 0.718, 0.850], [0.718, 0.216, 0.850], [0.216, 0.216, 0.850], [0.784, 0.784, 0.150], [0.282, 0.784, 0.150], [0.784, 0.282, 0.150]]}



Entry 11:
{"formula": "Hg2Sb3Pb8", "functional": "PBE", "state": "optimized geometry", "total_energy_ev_per_atom": -3.1967, "m_tot_mub_per_fu": 0.000, "dos_ef_per_ev_cell": 7.58, "crystal_system": "orthorhombic", "lattice_angstrom": [[5.478, -7.135, 0.000], [5.478, 7.135, 0.000], [0.000, 0.000, 5.557]], "species": ["Hg", "Hg", "Sb", "Sb", "Sb", "Pb", "Pb", "Pb", "Pb", "Pb", "Pb", "Pb", "Pb"], "fractional_positions": [[0.251, 0.749, 0.500], [0.749, 0.251, 0.500], [0.000, 0.000, 0.500], [0.731, 0.731, 0.000], [0.269, 0.269, 0.000], [0.636, 0.364, 0.000], [0.364, 0.636, 0.000], [0.122, 0.878, 0.000], [0.878, 0.122, 0.000], [0.129, 0.377, 0.500], [0.623, 0.871, 0.500], [0.377, 0.129, 0.500], [0.871, 0.623, 0.500]]}



Entry 12:
{"formula": "HgSbPb4", "functional": "PBE", "state": "optimized geometry", "relative_energy_mev_per_atom": 192, "m_tot_mub_per_fu": 0.000, "dos_ef_per_ev_cell": 4.64, "crystal_system": "cubic", "lattice_angstrom": [[-0.931, 1.444, 6.277], [-3.741, -3.830, 3.700], [2.700, -3.698, 4.625]], "species": ["Hg", "Sb", "Pb", "Pb", "Pb", "Pb"], "fractional_positions": [[0.000, 0.000, 0.000], [0.750, 0.750, 0.750], [0.876, 0.375, 0.375], [0.375, 0.375, 0.876], [0.375, 0.876, 0.375], [0.375, 0.375, 0.375]]}